VASP calculation (PBE with a Hubbard U) on crystalline Mg2NiF6 at its relaxed geometry.

abc: 4.692 4.692 9.304
angles: 90.00 90.00 90.00
Last column: magnetic moment on the atom in μB.
Fractional positions:
F1 0.198 0.802 0.332  0.02
F2 0.198 0.802 0.668  0.02
F3 0.805 0.195 0.000  0.01
Mg1 0.500 0.500 0.667  0.00
Mg2 0.000 0.000 0.167  0.00
F4 0.698 0.698 0.832  0.02
F5 0.305 0.305 0.500  0.01
Ni1 0.000 0.000 0.500  1.81
F6 0.802 0.198 0.668  0.02
Mg3 0.500 0.500 0.333  0.00
F7 0.302 0.302 0.168  0.02
Mg4 0.000 0.000 0.833  0.00
F8 0.695 0.695 0.500  0.01
Ni2 0.500 0.500 0.000  1.81
F9 0.802 0.198 0.332  0.02
F10 0.698 0.698 0.168  0.02
F11 0.195 0.805 0.000  0.01
F12 0.302 0.302 0.832  0.02

Computed properties:
**Magnetization**: 3.9 μB/cell
**E**: -4.981 eV per atom
**D(E_F)**: 0.000 states/eV/atom
**Space group**: P4_2/mnm